An optimized crystal structure of CePu4GaGe2. Source: the Alexandria database, functional PBE-GGA.

Calculated values
Crystal system: trigonal
Energy of formation from the pure elements in meV per atom: -291.2
Total moment in μB per formula unit: 23.970

Geometry as CIF:
```
data_CePu4GaGe2
_chemical_formula_sum 'Ce3 Pu12 Ga3 Ge6'
_cell_length_a 5.0770
_cell_length_b 5.0770
_cell_length_c 25.3219
_cell_angle_alpha 90.00
_cell_angle_beta 90.00
_cell_angle_gamma 120.00
_symmetry_space_group_name_H-M 'R -3 m'
_symmetry_Int_Tables_number 166
_symmetry_space_group_name_Hall '-R 3 2"'
loop_
_atom_site_label
_atom_site_fract_x
_atom_site_fract_y
_atom_site_fract_z
Ce1 0.0000 0.0000 0.0000
Pu1 0.0000 0.0000 0.1365
Pu2 0.0000 0.0000 0.3882
Ga1 0.0000 0.0000 0.5000
Ge1 0.0000 0.0000 0.2652
```

=====

An optimized crystal structure of CePu2GaGe2. Source: the Alexandria database, functional PBE-GGA.

Calculated values
Crystal system: tetragonal
Energy of formation from the pure elements in meV per atom: 60.0
Total moment in μB per formula unit: 13.042

Geometry as CIF:
```
data_CePu2GaGe2
_chemical_formula_sum 'Ce2 Pu4 Ga2 Ge4'
_cell_length_a 5.781
_cell_length_b 5.781
_cell_length_c 10.441
_cell_angle_alpha 90.00
_cell_angle_beta 90.00
_cell_angle_gamma 90.00
_symmetry_space_group_name_H-M 'I 4/m m m'
_symmetry_Int_Tables_number 139
_symmetry_space_group_name_Hall '-I 4 2'
loop_
_atom_site_label
_atom_site_fract_x
_atom_site_fract_y
_atom_site_fract_z
Ce1 0.000 0.000 0.000
Pu1 0.000 0.500 0.250
Ga1 0.000 0.000 0.500
Ge1 0.000 0.000 0.270
```

=====

An optimized crystal structure of Ce3GaGe6Rh2. Source: the Alexandria database, functional PBE-GGA.

Calculated values
Crystal system: trigonal
Energy of formation from the pure elements in meV per atom: -337.2
Total moment in μB per formula unit: 0.713

Geometry as CIF:
```
data_Ce3GaGe6Rh2
_chemical_formula_sum 'Ce3 Ga1 Ge6 Rh2'
_cell_length_a 6.1699
_cell_length_b 6.1699
_cell_length_c 7.5933
_cell_angle_alpha 90.00
_cell_angle_beta 90.00
_cell_angle_gamma 120.00
_symmetry_space_group_name_H-M 'P -3 m 1'
_symmetry_Int_Tables_number 164
_symmetry_space_group_name_Hall '-P 3 2"'
loop_
_atom_site_label
_atom_site_fract_x
_atom_site_fract_y
_atom_site_fract_z
Ce1 0.0000 0.0000 0.0000
Ce2 0.3333 0.6667 0.6681
Ga1 0.0000 0.0000 0.5000
Ge1 0.1924 0.3848 0.2812
Rh1 0.3333 0.6667 0.9919
```

=====

An optimized crystal structure of Ce2GaGe3Rh4. Source: the Alexandria database, functional PBE-GGA.

Calculated values
Crystal system: tetragonal
Energy of formation from the pure elements in meV per atom: -858.8
Total moment in μB per formula unit: 0.967

Geometry as CIF:
```
data_Ce2GaGe3Rh4
_chemical_formula_sum 'Ce2 Ga1 Ge3 Rh4'
_cell_length_a 4.212
_cell_length_b 4.212
_cell_length_c 10.292
_cell_angle_alpha 90.00
_cell_angle_beta 90.00
_cell_angle_gamma 90.00
_symmetry_space_group_name_H-M 'P -4 m 2'
_symmetry_Int_Tables_number 115
_symmetry_space_group_name_Hall 'P -4 -2'
loop_
_atom_site_label
_atom_site_fract_x
_atom_site_fract_y
_atom_site_fract_z
Ce1 0.000 0.500 0.245
Ga1 0.500 0.500 0.000
Ge1 0.000 0.000 0.000
Ge2 0.000 0.500 0.629
Rh1 0.000 0.000 0.500
Rh2 0.000 0.500 0.866
Rh3 0.500 0.500 0.500
```

=====

An optimized crystal structure of Ce2Ga3GeRh4. Source: the Alexandria database, functional PBE-GGA.

Calculated values
Crystal system: tetragonal
Energy of formation from the pure elements in meV per atom: -783.5
Total moment in μB per formula unit: 1.063

Geometry as CIF:
```
data_Ce2Ga3GeRh4
_chemical_formula_sum 'Ce2 Ga3 Ge1 Rh4'
_cell_length_a 4.331
_cell_length_b 4.331
_cell_length_c 9.859
_cell_angle_alpha 90.00
_cell_angle_beta 90.00
_cell_angle_gamma 90.00
_symmetry_space_group_name_H-M 'P -4 m 2'
_symmetry_Int_Tables_number 115
_symmetry_space_group_name_Hall 'P -4 -2'
loop_
_atom_site_label
_atom_site_fract_x
_atom_site_fract_y
_atom_site_fract_z
Ce1 0.000 0.500 0.244
Ga1 0.000 0.500 0.874
Ga2 0.500 0.500 0.500
Ge1 0.000 0.000 0.500
Rh1 0.000 0.000 0.000
Rh2 0.000 0.500 0.626
Rh3 0.500 0.500 0.000
```

=====

An optimized crystal structure of Ce2GaGe2Rh5. Source: the Alexandria database, functional PBE-GGA.

Calculated values
Crystal system: tetragonal
Energy of formation from the pure elements in meV per atom: -683.4
Total moment in μB per formula unit: 1.472

Geometry as CIF:
```
data_Ce2GaGe2Rh5
_chemical_formula_sum 'Ce4 Ga2 Ge4 Rh10'
_cell_length_a 9.868
_cell_length_b 9.868
_cell_length_c 3.592
_cell_angle_alpha 90.00
_cell_angle_beta 90.00
_cell_angle_gamma 90.00
_symmetry_space_group_name_H-M 'P 4/m b m'
_symmetry_Int_Tables_number 127
_symmetry_space_group_name_Hall '-P 4 2ab'
loop_
_atom_site_label
_atom_site_fract_x
_atom_site_fract_y
_atom_site_fract_z
Ce1 0.175 0.325 0.000
Ga1 0.000 0.000 0.000
Ge1 0.125 0.625 0.000
Rh1 0.000 0.500 0.500
Rh2 0.064 0.793 0.500
```

=====

An optimized crystal structure of Ce2Ga4Ge2Rh. Source: the Alexandria database, functional PBE-GGA.

Calculated values
Crystal system: tetragonal
Energy of formation from the pure elements in meV per atom: -644.1
Total moment in μB per formula unit: 1.279

Geometry as CIF:
```
data_Ce2Ga4Ge2Rh
_chemical_formula_sum 'Ce4 Ga8 Ge4 Rh2'
_cell_length_a 6.241
_cell_length_b 6.241
_cell_length_c 8.957
_cell_angle_alpha 90.00
_cell_angle_beta 90.00
_cell_angle_gamma 90.00
_symmetry_space_group_name_H-M 'I 4/m m m'
_symmetry_Int_Tables_number 139
_symmetry_space_group_name_Hall '-I 4 2'
loop_
_atom_site_label
_atom_site_fract_x
_atom_site_fract_y
_atom_site_fract_z
Ce1 0.000 0.500 0.250
Ga1 0.216 0.216 0.000
Ge1 0.000 0.000 0.221
Rh1 0.000 0.000 0.500
```

=====

An optimized crystal structure of Ce2GaGeRh6. Source: the Alexandria database, functional PBE-GGA.

Calculated values
Crystal system: cubic
Energy of formation from the pure elements in meV per atom: -307.9
Total moment in μB per formula unit: 1.258

Geometry as CIF:
```
data_Ce2GaGeRh6
_chemical_formula_sum 'Ce8 Ga4 Ge4 Rh24'
_cell_length_a 9.184
_cell_length_b 9.184
_cell_length_c 9.184
_cell_angle_alpha 90.00
_cell_angle_beta 90.00
_cell_angle_gamma 90.00
_symmetry_space_group_name_H-M 'F m -3 m'
_symmetry_Int_Tables_number 225
_symmetry_space_group_name_Hall '-F 4 2 3'
loop_
_atom_site_label
_atom_site_fract_x
_atom_site_fract_y
_atom_site_fract_z
Ce1 0.250 0.250 0.250
Ga1 0.000 0.000 0.000
Ge1 0.000 0.000 0.500
Rh1 0.000 0.000 0.251
```

=====

Please write out number 8 again, unchanged.
An optimized crystal structure of Ce2GaGeRh6. Source: the Alexandria database, functional PBE-GGA.

Calculated values
Crystal system: cubic
Energy of formation from the pure elements in meV per atom: -307.9
Total moment in μB per formula unit: 1.258

Geometry as CIF:
```
data_Ce2GaGeRh6
_chemical_formula_sum 'Ce8 Ga4 Ge4 Rh24'
_cell_length_a 9.184
_cell_length_b 9.184
_cell_length_c 9.184
_cell_angle_alpha 90.00
_cell_angle_beta 90.00
_cell_angle_gamma 90.00
_symmetry_space_group_name_H-M 'F m -3 m'
_symmetry_Int_Tables_number 225
_symmetry_space_group_name_Hall '-F 4 2 3'
loop_
_atom_site_label
_atom_site_fract_x
_atom_site_fract_y
_atom_site_fract_z
Ce1 0.250 0.250 0.250
Ga1 0.000 0.000 0.000
Ge1 0.000 0.000 0.500
Rh1 0.000 0.000 0.251
```